The following is a DFT calculation (PBE+U) of crystalline PuNi2AgO6 at its relaxed geometry.

The total energy is -6.11 eV/atom. Its crystal system is tetragonal.

It has space group P4mm (No. 99), with a = 6.083 Å, b = 6.083 Å, c = 4.125 Å, α = 90.00°, β = 90.00° and γ = 90.00°. The asymmetric unit holds Pu at (0.000, 0.000, 0.000), Ni at (0.000, 0.500, 0.003), Ag at (0.500, 0.500, 0.994), O at (0.000, 0.000, 0.500), O at (0.237, 0.237, 0.001) and O at (0.500, 0.500, 0.495).